In7GaHg3, relaxed, DFT PBE; V = 296.3 Å³ per cell; formation enthalpy at 0 K = 0.0392 eV/atom
1.0
6.7414 0.0000 0.0000
-3.3707 5.8382 0.0000
0.0000 0.0000 7.5282
In Ga Hg
7 1 3
direct
0.0000 0.0000 0.0000
0.3493 0.1747 0.3353
0.5067 0.0135 0.9621
0.5067 0.4933 0.9621
0.8253 0.1747 0.3353
0.8253 0.6507 0.3353
0.9865 0.4933 0.9621
0.3333 0.6667 0.2814
0.1698 0.3397 0.6425
0.1698 0.8302 0.6425
0.6603 0.8302 0.6425